[1]
The following is a PBE calculation of a relaxed structure of Na3CeSn2S6, from Alexandria via LeMat-Bulk.

Formation energy from raw total energies, eV per atom: -1.07

Structure (CIF):
```
data_Na3CeSn2S6
_space_group_name_H-M_alt 'C 1 2/m 1'
_space_group_IT_number 12
_cell_length_a 7.0442
_cell_length_b 12.1954
_cell_length_c 7.0267
_cell_angle_alpha 90.00
_cell_angle_beta 109.52
_cell_angle_gamma 90.00
loop_
_space_group_symop_operation_xyz
'x,y,z'
'-x,-y,-z'
'-x,y,-z'
'x,-y,z'
'x+1/2,y+1/2,z'
'-x+1/2,-y+1/2,-z'
'-x+1/2,y+1/2,-z'
'x+1/2,-y+1/2,z'
loop_
_atom_site_label
_atom_site_type_symbol
_atom_site_fract_x
_atom_site_fract_y
_atom_site_fract_z
Na1 Na 0.0000 0.0000 0.0000
Na2 Na 0.0000 0.3283 0.0000
Ce1 Ce 0.0000 0.5000 0.5000
Sn1 Sn 0.0000 0.1658 0.5000
S1 S 0.2391 0.3371 0.7286
S2 S 0.2504 0.0000 0.7282
```



[2]
The following is a PBE calculation of a relaxed structure of Na2Te2Pd, from Alexandria via LeMat-Bulk.

Formation energy from raw total energies, eV per atom: -0.55

Structure (CIF):
```
data_Na2Te2Pd
_space_group_name_H-M_alt 'I 41/a m d'
_space_group_IT_number 141
_cell_length_a 4.5221
_cell_length_b 4.5221
_cell_length_c 25.4319
_cell_angle_alpha 90.00
_cell_angle_beta 90.00
_cell_angle_gamma 90.00
loop_
_space_group_symop_operation_xyz
'x,y,z'
'-x,-y,-z'
'-y+1/4,x+3/4,z+1/4'
'y+1/4,-x+3/4,-z+1/4'
'-x+1/2,-y,z+1/2'
'x+1/2,y,-z+1/2'
'y+1/4,-x+1/4,z+3/4'
'-y+1/4,x+1/4,-z+3/4'
'x,-y,-z'
'-x,y,z'
'-y+1/4,-x+1/4,-z+3/4'
'y+1/4,x+1/4,z+3/4'
'-x+1/2,y,-z+1/2'
'x+1/2,-y,z+1/2'
'y+1/4,x+3/4,-z+1/4'
'-y+1/4,-x+3/4,z+1/4'
'x+1/2,y+1/2,z+1/2'
'-x+1/2,-y+1/2,-z+1/2'
'-y+3/4,x+1/4,z+3/4'
'y+3/4,-x+1/4,-z+3/4'
'-x,-y+1/2,z'
'x,y+1/2,-z'
'y+3/4,-x+3/4,z+1/4'
'-y+3/4,x+3/4,-z+1/4'
'x+1/2,-y+1/2,-z+1/2'
'-x+1/2,y+1/2,z+1/2'
'-y+3/4,-x+3/4,-z+1/4'
'y+3/4,x+3/4,z+1/4'
'-x,y+1/2,-z'
'x,-y+1/2,z'
'y+3/4,x+1/4,-z+3/4'
'-y+3/4,-x+1/4,z+3/4'
loop_
_atom_site_label
_atom_site_type_symbol
_atom_site_fract_x
_atom_site_fract_y
_atom_site_fract_z
Na1 Na 0.0000 0.2500 0.0474
Te1 Te 0.0000 0.2500 0.1838
Pd1 Pd 0.0000 0.2500 0.3750
```



[3]
The following is a PBE calculation of a relaxed structure of RbNa8Hg4, from Alexandria via LeMat-Bulk.

ΔH_f (0 K), eV per atom: -0.1636

Structure (CIF):
```
data_RbNa8Hg4
_space_group_name_H-M_alt 'I 4/m m m'
_space_group_IT_number 139
_space_group_name_Hall '-I 4 2'
_cell_length_a 11.3142
_cell_length_b 11.3142
_cell_length_c 6.3564
_cell_angle_alpha 90.00
_cell_angle_beta 90.00
_cell_angle_gamma 90.00
loop_
_atom_site_label
_atom_site_type_symbol
_atom_site_fract_x
_atom_site_fract_y
_atom_site_fract_z
Rb1 Rb 0.0000 0.0000 0.0000
Na1 Na 0.0000 0.2238 0.5000
Na2 Na 0.0000 0.3435 0.0000
Hg1 Hg 0.2500 0.2500 0.2500
```



[4]
The following is a PBE calculation of a relaxed structure of LiPb2Se, from Alexandria via LeMat-Bulk.

Formation energy from raw total energies, eV per atom: -0.37

Structure (CIF):
```
data_LiPb2Se
_space_group_name_H-M_alt 'P 1 m 1'
_space_group_IT_number 6
_cell_length_a 4.7711
_cell_length_b 3.8571
_cell_length_c 6.1425
_cell_angle_alpha 90.00
_cell_angle_beta 112.57
_cell_angle_gamma 90.00
loop_
_space_group_symop_operation_xyz
'x,y,z'
'x,-y,z'
loop_
_atom_site_label
_atom_site_type_symbol
_atom_site_fract_x
_atom_site_fract_y
_atom_site_fract_z
Li1 Li 0.0000 0.0000 0.0000
Pb1 Pb 0.4049 0.5000 0.8072
Pb2 Pb 0.7328 0.0000 0.4526
Se1 Se 0.1548 0.5000 0.2891
```



[5]
The following is a PBE calculation of a relaxed structure of Tb2Pr12Sm, from Alexandria via LeMat-Bulk.

ΔH_f (0 K), eV per atom: 0.1500

Structure (CIF):
```
data_Tb2Pr12Sm
_space_group_name_H-M_alt 'C m m e'
_space_group_IT_number 67
_space_group_name_Hall '-C 2a 2'
_cell_length_a 7.2689
_cell_length_b 11.7503
_cell_length_c 25.2759
_cell_angle_alpha 90.00
_cell_angle_beta 90.00
_cell_angle_gamma 90.00
loop_
_atom_site_label
_atom_site_type_symbol
_atom_site_fract_x
_atom_site_fract_y
_atom_site_fract_z
Tb1 Tb 0.0000 0.2500 0.2281
Tb2 Tb 0.0000 0.2500 0.7675
Pr1 Pr 0.0000 0.0025 0.5739
Pr2 Pr 0.0000 0.0249 0.0600
Pr3 Pr 0.2294 0.2500 0.9157
Pr4 Pr 0.2480 0.2500 0.3692
Pr5 Pr 0.2500 0.0000 0.1752
Pr6 Pr 0.2500 0.0000 0.3009
Sm1 Sm 0.0000 0.2500 0.4988
```



[6]
The following is a PBE calculation of a relaxed structure of Pm2Co3Ge4Pt, from Alexandria via LeMat-Bulk.

ΔH_f (0 K), eV per atom: -0.6596

Structure (CIF):
```
data_Pm2Co3Ge4Pt
_space_group_name_H-M_alt 'P -4 m 2'
_space_group_IT_number 115
_cell_length_a 4.1270
_cell_length_b 4.1270
_cell_length_c 9.9378
_cell_angle_alpha 90.00
_cell_angle_beta 90.00
_cell_angle_gamma 90.00
loop_
_space_group_symop_operation_xyz
'x,y,z'
'y,-x,-z'
'-x,-y,z'
'-y,x,-z'
'-x,y,z'
'-y,-x,-z'
'x,-y,z'
'y,x,-z'
loop_
_atom_site_label
_atom_site_type_symbol
_atom_site_fract_x
_atom_site_fract_y
_atom_site_fract_z
Pm1 Pm 0.0000 0.5000 0.2394
Co1 Co 0.0000 0.5000 0.8776
Co2 Co 0.5000 0.5000 0.5000
Ge1 Ge 0.0000 0.0000 0.0000
Ge2 Ge 0.0000 0.5000 0.6435
Ge3 Ge 0.5000 0.5000 0.0000
Pt1 Pt 0.0000 0.0000 0.5000
```



Number 1: spin magnetization 0.0 μB/cell, DFT total energy -4.626 eV per atom. Number 2: spin magnetization 0.0 μB/cell, DFT total energy -3.377 eV per atom. Number 3: spin magnetization 0.0 μB/cell, DFT total energy -1.143 eV per atom. Number 4: spin magnetization 0.0 μB/cell, DFT total energy -3.571 eV per atom. Number 5: spin magnetization 0.0 μB/cell, DFT total energy -4.606 eV per atom. Number 6: spin magnetization 0.0 μB/cell, DFT total energy -6.193 eV per atom.